DFT (PBE-GGA) results for a geometry-optimized Li2PBr structure.

Geometry as POSCAR:
```
Li2PBr
1.0
3.443 0.000 0.000
0.000 1.504 7.475
0.000 -1.504 7.475
Li P Br
2 1 1
Direct
0.000 0.000 0.000 Li
0.500 0.237 0.237 Li
0.500 0.589 0.589 P
0.000 0.829 0.829 Br
```

Summary:
**DOS(E_F)**: 0.269 states/eV/atom
**Space group**: No. 38
**Energy relative to the elements, uncorrected**: -0.58 eV/atom
**Volume**: 77 Å³ per cell